[1]
Entry from Alexandria via LeMat-Bulk: Hf4CoRe3 after structural relaxation (PBE).

- Fermi-level density of states: 6.4 states/eV per cell
- Energy of formation from the pure elements: -355 meV per atom
- Crystal system: orthorhombic
- E: -10.888 eV/atom
- Symmetry: Pmmm, No. 47

Geometry as extended XYZ:
```
8
Lattice="3.2629 0.0000 0.0000 0.0000 4.5983 0.0000 0.0000 0.0000 9.1563" Properties=species:S:1:pos:R:3 pbc="T T T"
Co 1.6314 2.2992 0.0000
Hf 0.0000 0.0000 4.5781
Hf 0.0000 2.2992 6.9067
Hf 0.0000 0.0000 0.0000
Hf 0.0000 2.2992 2.2496
Re 1.6314 0.0000 2.2489
Re 1.6314 2.2992 4.5781
Re 1.6314 0.0000 6.9074
```

=====

[2]
Entry from Alexandria via LeMat-Bulk: Hf9CoRe4 after structural relaxation (PBE).

- Fermi-level density of states: 22.4 states/eV per cell
- Energy of formation from the pure elements: -348 meV per atom
- Crystal system: hexagonal
- E: -10.811 eV/atom
- Symmetry: P6_3/mmc, No. 194

Geometry as extended XYZ:
```
28
Lattice="-4.5364 -7.2644 -0.1603 6.7160 0.7403 5.2653 -5.0897 3.0445 6.0640" Properties=species:S:1:pos:R:3 pbc="T T T"
Hf 2.2254 0.4873 6.8593
Hf -0.4719 0.1900 4.7446
Hf 0.4035 -2.4303 6.7949
Hf -5.1355 -3.9669 4.3097
Hf -2.4382 -3.6696 6.4244
Hf -3.3136 -1.0493 4.3740
Hf -7.0831 -2.8020 6.6300
Hf -4.3857 -2.5046 8.7447
Hf -5.2611 0.1156 6.6944
Hf 4.1730 -0.6776 4.5389
Hf 1.4757 -0.9750 2.4242
Hf 2.3511 -3.5953 4.4746
Hf -0.6499 -2.8334 3.8431
Hf -3.1711 -3.1113 1.8665
Hf -2.3529 -5.5605 3.7830
Hf -2.2601 -0.6462 7.3258
Hf 0.2611 -0.3683 9.3024
Hf -0.5572 2.0809 7.3860
Co 1.6928 -1.1668 4.9728
Co -4.6028 -2.3128 6.1962
Re -4.5644 -5.6181 1.9557
Re -0.0766 -5.1234 5.4741
Re -1.5331 -0.7637 2.0628
Re 1.6543 2.1384 9.2133
Re -2.8335 1.6438 5.6948
Re -1.3770 -2.7159 9.1061
Re -2.5449 1.5223 3.0320
Re 0.0000 0.0000 0.0000
```

=====

[3]
Entry from Alexandria via LeMat-Bulk: Hf6CoRe after structural relaxation (PBE).

- Fermi-level density of states: 7.6 states/eV per cell
- Energy of formation from the pure elements: -23 meV per atom
- Crystal system: monoclinic
- E: -9.933 eV/atom
- Symmetry: C2/m, No. 12

Geometry as extended XYZ:
```
8
Lattice="5.3412 -0.9148 0.5331 1.7700 5.3565 1.3844 2.6320 2.8599 6.1480" Properties=species:S:1:pos:R:3 pbc="T T T"
Hf 7.2628 4.1384 5.3413
Hf 7.4384 6.7678 6.8306
Hf 5.0616 1.3361 2.3121
Hf 2.3047 0.5337 1.2350
Hf 2.4803 3.1631 2.7243
Hf 4.6815 5.9654 5.7535
Co 0.0000 0.0000 0.0000
Re 4.8716 3.6508 4.0328
```